# GGA-PBEsol CoAsOs2, optimized geometry
data_CoAsOs2
_cell_length_a 2.7550
_cell_length_b 2.7550
_cell_length_c 24.3280
_cell_angle_alpha 90.00
_cell_angle_beta 90.00
_cell_angle_gamma 120.00
_space_group_name_H-M_alt 'R 3 m'
_space_group_IT_number 160
_space_group_name_Hall 'R 3 -2"'
loop_
_atom_site_label
_atom_site_type_symbol
_atom_site_fract_x
_atom_site_fract_y
_atom_site_fract_z
Co1 Co 0.0000 0.0000 0.0000
As1 As 0.0000 0.0000 0.2599
Os1 Os 0.0000 0.0000 0.5053
Os2 Os 0.0000 0.0000 0.7522
# - ΔH_f (0 K) (meV/atom) = 244
# - volume (Å³/cell) = 159.92

=====

# GGA-PBEsol NbCo2NiS, optimized geometry
data_NbCo2NiS
_cell_length_a 4.241
_cell_length_b 4.241
_cell_length_c 3.984
_cell_angle_alpha 90.00
_cell_angle_beta 90.00
_cell_angle_gamma 90.00
_space_group_name_H-M_alt 'P 4/m m m'
_space_group_IT_number 123
_space_group_name_Hall '-P 4 2'
loop_
_atom_site_label
_atom_site_type_symbol
_atom_site_fract_x
_atom_site_fract_y
_atom_site_fract_z
Nb1 Nb 0.000 0.000 0.000
Co1 Co 0.000 0.500 0.500
Ni1 Ni 0.500 0.500 0.500
S1 S 0.500 0.500 0.000
# - volume (Å³/cell) = 71.67
# - energy relative to the elements, uncorrected (meV/atom) = 859